(1)
The following is a DFT calculation (GGA-PBE) of Tl3Sn3Hg after structural relaxation.

crystal system	trigonal
DFT total energy	-38.49	eV/cell
volume	29.14	Å³ per atom
formation enthalpy at 0 K	2.3	kJ per mole of atoms
DOS(E_F)	0.352	states/eV per atom
SG	R-3 (148)

a b c (Å): 7.736 7.736 7.736
angles (deg): 72.19 72.19 72.19
Sites, in units of the cell vectors:
1 Tl 0.614 0.455 0.173
2 Tl 0.173 0.614 0.455
3 Tl 0.455 0.173 0.614
4 Tl 0.545 0.827 0.386
5 Tl 0.827 0.386 0.545
6 Tl 0.386 0.545 0.827
7 Sn 0.693 0.094 0.964
8 Sn 0.094 0.964 0.693
9 Sn 0.964 0.693 0.094
10 Sn 0.036 0.307 0.906
11 Sn 0.906 0.036 0.307
12 Sn 0.307 0.906 0.036
13 Hg 0.246 0.246 0.246
14 Hg 0.754 0.754 0.754

(2)
The following is a DFT calculation (GGA-PBE) of Dy3Y2Er3 after structural relaxation.

crystal system	orthorhombic
DFT total energy	-40.24	eV/cell
volume	31.28	Å³ per atom
formation enthalpy at 0 K	2.2	kJ per mole of atoms
DOS(E_F)	1.396	states/eV per atom
SG	Immm (71)

a b c (Å): 4.999 5.000 10.617
angles (deg): 103.60 103.62 90.00
Sites, in units of the cell vectors:
1 Dy 0.624 0.624 0.247
2 Dy 0.376 0.376 0.753
3 Dy 0.500 0.000 0.000
4 Y 0.750 0.250 0.500
5 Y 0.250 0.750 0.500
6 Er 0.124 0.124 0.248
7 Er 0.000 0.500 0.000
8 Er 0.876 0.876 0.752

(3)
The following is a DFT calculation (GGA-PBE) of K2ScBr after structural relaxation.

crystal system	orthorhombic
raw formation energy	-0.268	eV per atom
DFT total energy	-11.27	eV/cell
volume	39.02	Å³ per atom
DOS(E_F)	0.827	states/eV per atom
SG	Cmm2 (35)

a b c (Å): 3.860 3.860 12.007
angles (deg): 90.00 90.00 119.24
Sites, in units of the cell vectors:
1 Br 0.500 0.500 0.723
2 K 0.000 0.000 0.944
3 K 0.500 0.500 0.280
4 Sc 0.000 0.000 0.553

(4)
The following is a DFT calculation (GGA-PBE) of ErTmCo after structural relaxation.

crystal system	cubic
DFT total energy	-16.42	eV/cell
volume	23.43	Å³ per atom
formation enthalpy at 0 K	-9.1	kJ per mole of atoms
DOS(E_F)	1.021	states/eV per atom
SG	F-43m (216)

a b c (Å): 4.632 4.632 4.632
angles (deg): 60.00 60.00 60.00
Sites, in units of the cell vectors:
1 Tm 0.500 0.500 0.500
2 Co 0.250 0.250 0.250
3 Er 0.000 0.000 0.000

Look up the DOS(E_F) of the second one.
1.396 states/eV per atom

Number 4 is which compound?
ErTmCo